# CuMoPt2 (PBE, optimized geometry)
data_CuMoPt2
_chemical_formula_sum 'Cu1 Mo1 Pt2'
_cell_length_a 2.7737
_cell_length_b 3.8966
_cell_length_c 5.4583
_cell_angle_alpha 90.00
_cell_angle_beta 90.00
_cell_angle_gamma 90.00
_symmetry_space_group_name_H-M 'P m m m'
_symmetry_Int_Tables_number 47
loop_
_symmetry_equiv_pos_as_xyz
'x,y,z'
'-x,-y,-z'
'-x,-y,z'
'x,y,-z'
'x,-y,-z'
'-x,y,z'
'-x,y,-z'
'x,-y,z'
loop_
_atom_site_label
_atom_site_type_symbol
_atom_site_fract_x
_atom_site_fract_y
_atom_site_fract_z
Cu1 Cu 0.0000 0.0000 0.0000
Mo1 Mo 0.0000 0.0000 0.5000
Pt1 Pt 0.5000 0.5000 0.2495
# distance to the lowest polymorph of the same formula: 57 meV per atom
# Fermi-level density of states: 0.737 states/eV/atom

---

# CuMoPt2 (PBE, optimized geometry)
data_CuMoPt2
_chemical_formula_sum 'Cu1 Mo1 Pt2'
_cell_length_a 3.8949
_cell_length_b 3.8949
_cell_length_c 3.9227
_cell_angle_alpha 90.00
_cell_angle_beta 90.00
_cell_angle_gamma 90.00
_symmetry_space_group_name_H-M 'P 4/m m m'
_symmetry_Int_Tables_number 123
_symmetry_space_group_name_Hall '-P 4 2'
loop_
_atom_site_label
_atom_site_type_symbol
_atom_site_fract_x
_atom_site_fract_y
_atom_site_fract_z
Cu1 Cu 0.0000 0.0000 0.0000
Mo1 Mo 0.5000 0.5000 0.0000
Pt1 Pt 0.0000 0.5000 0.5000
# distance to the lowest polymorph of the same formula: 320 meV per atom
# Fermi-level density of states: 1.331 states/eV/atom

---

# CuMoPt (PBE, optimized geometry)
data_CuMoPt
_chemical_formula_sum 'Cu2 Mo2 Pt2'
_cell_length_a 2.7418
_cell_length_b 3.9086
_cell_length_c 8.0946
_cell_angle_alpha 90.00
_cell_angle_beta 90.00
_cell_angle_gamma 90.00
_symmetry_space_group_name_H-M 'I m m 2'
_symmetry_Int_Tables_number 44
loop_
_symmetry_equiv_pos_as_xyz
'x,y,z'
'-x,-y,z'
'-x,y,z'
'x,-y,z'
'x+1/2,y+1/2,z+1/2'
'-x+1/2,-y+1/2,z+1/2'
'-x+1/2,y+1/2,z+1/2'
'x+1/2,-y+1/2,z+1/2'
loop_
_atom_site_label
_atom_site_type_symbol
_atom_site_fract_x
_atom_site_fract_y
_atom_site_fract_z
Cu1 Cu 0.0000 0.0000 0.0000
Mo1 Mo 0.0000 0.0000 0.6651
Pt1 Pt 0.0000 0.0000 0.3323
# distance to the lowest polymorph of the same formula: 25 meV per atom
# Fermi-level density of states: 0.747 states/eV/atom

---

# Cu2MoPt2 (PBE, optimized geometry)
data_Cu2MoPt2
_chemical_formula_sum 'Cu4 Mo2 Pt4'
_cell_length_a 7.2994
_cell_length_b 7.2994
_cell_length_c 2.7602
_cell_angle_alpha 90.00
_cell_angle_beta 90.00
_cell_angle_gamma 90.00
_symmetry_space_group_name_H-M 'P 4/m b m'
_symmetry_Int_Tables_number 127
_symmetry_space_group_name_Hall '-P 4 2ab'
loop_
_atom_site_label
_atom_site_type_symbol
_atom_site_fract_x
_atom_site_fract_y
_atom_site_fract_z
Cu1 Cu 0.1653 0.3347 0.0000
Mo1 Mo 0.0000 0.0000 0.5000
Pt1 Pt 0.1338 0.6338 0.5000
# distance to the lowest polymorph of the same formula: 97 meV per atom
# Fermi-level density of states: 1.014 states/eV/atom

---

# CuMo4Pt (PBE, optimized geometry)
data_CuMo4Pt
_chemical_formula_sum 'Cu4 Mo16 Pt4'
_cell_length_a 7.3026
_cell_length_b 7.3026
_cell_length_c 7.3026
_cell_angle_alpha 90.00
_cell_angle_beta 90.00
_cell_angle_gamma 90.00
_symmetry_space_group_name_H-M 'F -4 3 m'
_symmetry_Int_Tables_number 216
_symmetry_space_group_name_Hall 'F -4 2 3'
loop_
_atom_site_label
_atom_site_type_symbol
_atom_site_fract_x
_atom_site_fract_y
_atom_site_fract_z
Cu1 Cu 0.0000 0.0000 0.0000
Mo1 Mo 0.1265 0.1265 0.6265
Pt1 Pt 0.2500 0.2500 0.2500
# Fermi-level density of states: 0.335 states/eV/atom

---

# Cu3MoPt12 (PBE, optimized geometry)
data_Cu3MoPt12
_chemical_formula_sum 'Cu3 Mo1 Pt12'
_cell_length_a 3.9280
_cell_length_b 3.9280
_cell_length_c 15.5974
_cell_angle_alpha 90.00
_cell_angle_beta 90.00
_cell_angle_gamma 90.00
_symmetry_space_group_name_H-M 'P 4/m m m'
_symmetry_Int_Tables_number 123
_symmetry_space_group_name_Hall '-P 4 2'
loop_
_atom_site_label
_atom_site_type_symbol
_atom_site_fract_x
_atom_site_fract_y
_atom_site_fract_z
Cu1 Cu 0.0000 0.0000 0.0000
Cu2 Cu 0.0000 0.0000 0.2464
Mo1 Mo 0.0000 0.0000 0.5000
Pt1 Pt 0.0000 0.5000 0.1241
Pt2 Pt 0.0000 0.5000 0.3748
Pt3 Pt 0.5000 0.5000 0.0000
Pt4 Pt 0.5000 0.5000 0.2486
Pt5 Pt 0.5000 0.5000 0.5000
# Fermi-level density of states: 1.016 states/eV/atom

---

# CuMo2Pt2 (PBE, optimized geometry)
data_CuMo2Pt2
_chemical_formula_sum 'Cu2 Mo4 Pt4'
_cell_length_a 7.7509
_cell_length_b 7.7509
_cell_length_c 2.7311
_cell_angle_alpha 90.00
_cell_angle_beta 90.00
_cell_angle_gamma 90.00
_symmetry_space_group_name_H-M 'P 4/m b m'
_symmetry_Int_Tables_number 127
_symmetry_space_group_name_Hall '-P 4 2ab'
loop_
_atom_site_label
_atom_site_type_symbol
_atom_site_fract_x
_atom_site_fract_y
_atom_site_fract_z
Cu1 Cu 0.0000 0.0000 0.0000
Mo1 Mo 0.1735 0.3265 0.5000
Pt1 Pt 0.1240 0.6240 0.0000
# distance to the lowest polymorph of the same formula: 0 meV per atom
# Fermi-level density of states: 0.900 states/eV/atom

---

# CuMoPt2 (PBE, optimized geometry)
data_CuMoPt2
_chemical_formula_sum 'Cu3 Mo3 Pt6'
_cell_length_a 2.7800
_cell_length_b 2.7800
_cell_length_c 26.6182
_cell_angle_alpha 90.00
_cell_angle_beta 90.00
_cell_angle_gamma 120.00
_symmetry_space_group_name_H-M 'R -3 m'
_symmetry_Int_Tables_number 166
_symmetry_space_group_name_Hall '-R 3 2"'
loop_
_atom_site_label
_atom_site_type_symbol
_atom_site_fract_x
_atom_site_fract_y
_atom_site_fract_z
Cu1 Cu 0.0000 0.0000 0.0000
Mo1 Mo 0.0000 0.0000 0.5000
Pt1 Pt 0.0000 0.0000 0.2518
# distance to the lowest polymorph of the same formula: 122 meV per atom
# Fermi-level density of states: 0.854 states/eV/atom

---

# VCuMoPt (PBE, optimized geometry)
data_VCuMoPt
_chemical_formula_sum 'V4 Cu4 Mo4 Pt4'
_cell_length_a 6.0957
_cell_length_b 6.0957
_cell_length_c 6.0957
_cell_angle_alpha 90.00
_cell_angle_beta 90.00
_cell_angle_gamma 90.00
_symmetry_space_group_name_H-M 'F -4 3 m'
_symmetry_Int_Tables_number 216
_symmetry_space_group_name_Hall 'F -4 2 3'
loop_
_atom_site_label
_atom_site_type_symbol
_atom_site_fract_x
_atom_site_fract_y
_atom_site_fract_z
V1 V 0.0000 0.0000 0.0000
Cu1 Cu 0.0000 0.0000 0.5000
Mo1 Mo 0.2500 0.2500 0.7500
Pt1 Pt 0.2500 0.2500 0.2500
# Fermi-level density of states: 1.081 states/eV/atom

---

# RbCuMo2 (PBE, optimized geometry)
data_RbCuMo2
_chemical_formula_sum 'Rb4 Cu4 Mo8'
_cell_length_a 4.6661
_cell_length_b 4.6661
_cell_length_c 19.5446
_cell_angle_alpha 90.00
_cell_angle_beta 90.00
_cell_angle_gamma 90.00
_symmetry_space_group_name_H-M 'I -4 2 d'
_symmetry_Int_Tables_number 122
_symmetry_space_group_name_Hall 'I -4 2bw'
loop_
_atom_site_label
_atom_site_type_symbol
_atom_site_fract_x
_atom_site_fract_y
_atom_site_fract_z
Rb1 Rb 0.0000 0.0000 0.0000
Cu1 Cu 0.0000 0.0000 0.5000
Mo1 Mo 0.0236 0.7500 0.6250
# distance to the lowest polymorph of the same formula: 0 meV per atom
# Fermi-level density of states: 1.180 states/eV/atom

---

# RbCu2Mo (PBE, optimized geometry)
data_RbCu2Mo
_chemical_formula_sum 'Rb4 Cu8 Mo4'
_cell_length_a 7.0154
_cell_length_b 7.0154
_cell_length_c 7.0154
_cell_angle_alpha 90.00
_cell_angle_beta 90.00
_cell_angle_gamma 90.00
_symmetry_space_group_name_H-M 'F m -3 m'
_symmetry_Int_Tables_number 225
_symmetry_space_group_name_Hall '-F 4 2 3'
loop_
_atom_site_label
_atom_site_type_symbol
_atom_site_fract_x
_atom_site_fract_y
_atom_site_fract_z
Rb1 Rb 0.0000 0.0000 0.0000
Cu1 Cu 0.2500 0.2500 0.2500
Mo1 Mo 0.0000 0.0000 0.5000
# distance to the lowest polymorph of the same formula: 165 meV per atom
# Fermi-level density of states: 0.440 states/eV/atom

---

# RbCuMo3 (PBE, optimized geometry)
data_RbCuMo3
_chemical_formula_sum 'Rb1 Cu1 Mo3'
_cell_length_a 4.8219
_cell_length_b 4.8219
_cell_length_c 4.8219
_cell_angle_alpha 90.00
_cell_angle_beta 90.00
_cell_angle_gamma 90.00
_symmetry_space_group_name_H-M 'P m -3 m'
_symmetry_Int_Tables_number 221
_symmetry_space_group_name_Hall '-P 4 2 3'
loop_
_atom_site_label
_atom_site_type_symbol
_atom_site_fract_x
_atom_site_fract_y
_atom_site_fract_z
Rb1 Rb 0.0000 0.0000 0.0000
Cu1 Cu 0.5000 0.5000 0.5000
Mo1 Mo 0.0000 0.5000 0.5000
# distance to the lowest polymorph of the same formula: 0 meV per atom
# Fermi-level density of states: 1.380 states/eV/atom

---

# RbCuMo3 (PBE, optimized geometry)
data_RbCuMo3
_chemical_formula_sum 'Rb1 Cu1 Mo3'
_cell_length_a 4.6423
_cell_length_b 4.6423
_cell_length_c 4.6423
_cell_angle_alpha 90.00
_cell_angle_beta 90.00
_cell_angle_gamma 90.00
_symmetry_space_group_name_H-M 'P m -3 m'
_symmetry_Int_Tables_number 221
_symmetry_space_group_name_Hall '-P 4 2 3'
loop_
_atom_site_label
_atom_site_type_symbol
_atom_site_fract_x
_atom_site_fract_y
_atom_site_fract_z
Rb1 Rb 0.0000 0.0000 0.0000
Cu1 Cu 0.5000 0.5000 0.5000
Mo1 Mo 0.0000 0.0000 0.5000
# distance to the lowest polymorph of the same formula: 1190 meV per atom
# Fermi-level density of states: 0.752 states/eV/atom

---

Quick rundown of formation energy from the elements, same order as above: -0.237; 0.026; -0.100; 0.141; 0.358; -0.169; 0.108; -0.172; -0.051; 1.656; 1.399; 2.159; 3.349 eV/atom
Quick rundown of spin magnetization, same order as above: 0.000; 0.000; 0.000; 0.000; 0.000; 0.000; 0.000; 0.000; 0.000; 0.000; 1.040; 1.074; 0.000 μB/atom